(1)
Compound: La2SmTe2Se2
Source: Alexandria
Functional: GGA-PBE
Structure: optimized geometry

Cell lengths 5.4325, 5.4325, 16.2119 Å; angles 90.00, 90.00, 90.00 degrees
With the nearest neighbours (Å) after each atom.
Space group I4/mmm (No. 139)
Asymmetric unit:
La 0.0000 0.0000 0.1177 (multiplicity 4)  1 Te 3.15, 4 Se 3.32
Sm 0.0000 0.0000 0.5000 (multiplicity 2)  4 Se 2.72
Te 0.0000 0.0000 0.3123 (multiplicity 4)  1 Sm 3.04, 1 La 3.15
Se 0.0000 0.5000 0.0000 (multiplicity 4)  2 Sm 2.72

ρ in g cm⁻³: 5.84
Uncorrected energy in eV/cell: -76.11
ΔE_f (raw) in eV per atom: -1.4613
Crystal system: tetragonal



(2)
Compound: LaSmTeSe2
Source: Alexandria
Functional: GGA-PBE
Structure: optimized geometry

Cell lengths 4.7193, 4.7193, 14.5660 Å; angles 90.00, 90.00, 90.00 degrees
With the nearest neighbours (Å) after each atom.
Space group I4mm (No. 107)
Asymmetric unit:
La 0.0000 0.0000 0.0000 (multiplicity 2)  4 Se 2.92
Sm 0.0000 0.0000 0.7245 (multiplicity 2)  4 Se 2.83
Te 0.0000 0.0000 0.3668 (multiplicity 2)  4 La 3.86, 4 Sm 3.93
Se 0.0000 0.5000 0.1177 (multiplicity 4)  2 Sm 2.83, 2 La 2.92

ρ in g cm⁻³: 5.88
Uncorrected energy in eV/cell: -54.39
ΔE_f (raw) in eV per atom: -1.4877
Crystal system: tetragonal



(3)
Compound: La4SmTh3Se8
Source: Alexandria
Functional: GGA-PBE
Structure: optimized geometry

Cell lengths 8.4926, 8.4926, 20.8782 Å; angles 90.00, 90.00, 120.00 degrees
With the nearest neighbours (Å) after each atom.
Space group R-3m (No. 166, hexagonal axes)
Asymmetric unit:
La 0.0000 0.0000 0.0000 (multiplicity 3)  6 Se 3.05
La 0.0000 0.5000 0.0000 (multiplicity 9)  6 Se 3.02-3.03
Sm 0.0000 0.0000 0.5000 (multiplicity 3)  6 Se 2.96
Th 0.0000 0.5000 0.5000 (multiplicity 9)  6 Se 2.98-2.99
Se 0.0000 0.0000 0.2485 (multiplicity 6)  3 Th 2.99, 3 La 3.02
Se 0.0024 0.5012 0.2476 (multiplicity 18)  1 Sm 2.96, 2 Th 2.98, 3 La 3.03-3.05

ρ in g cm⁻³: 7.77
Uncorrected energy in eV/cell: -310.34
ΔE_f (raw) in eV per atom: -1.8051
Crystal system: trigonal